Entry 1:
This record from Alexandria describes Pu2Ni4GeP3 after structural relaxation. The functional is PBE.

Summary:
- ΔH_f (0 K): -755 meV/atom

CIF file:
```
data_Pu2Ni4GeP3
_chemical_formula_sum 'Pu2 Ni4 Ge1 P3'
_cell_length_a 4.000
_cell_length_b 4.000
_cell_length_c 9.285
_cell_angle_alpha 90.00
_cell_angle_beta 90.00
_cell_angle_gamma 90.00
_space_group_name_H-M_alt 'P -4 m 2'
_space_group_IT_number 115
_space_group_name_Hall 'P -4 -2'
loop_
_atom_site_label
_atom_site_type_symbol
_atom_site_fract_x
_atom_site_fract_y
_atom_site_fract_z
Pu1 Pu 0.000 0.500 0.247
Ni1 Ni 0.000 0.000 0.000
Ni2 Ni 0.000 0.500 0.627
Ni3 Ni 0.500 0.500 0.000
Ge1 Ge 0.000 0.000 0.500
P1 P 0.000 0.500 0.868
P2 P 0.500 0.500 0.500
```


Entry 2:
This record from Alexandria describes NiGePRh2 after structural relaxation. The functional is PBE.

Summary:
- ΔH_f (0 K): 769 meV/atom

CIF file:
```
data_NiGePRh2
_chemical_formula_sum 'Ni1 Ge1 P1 Rh2'
_cell_length_a 4.553
_cell_length_b 4.553
_cell_length_c 4.282
_cell_angle_alpha 90.00
_cell_angle_beta 90.00
_cell_angle_gamma 90.00
_space_group_name_H-M_alt 'P 4/m m m'
_space_group_IT_number 123
_space_group_name_Hall '-P 4 2'
loop_
_atom_site_label
_atom_site_type_symbol
_atom_site_fract_x
_atom_site_fract_y
_atom_site_fract_z
Ni1 Ni 0.000 0.000 0.000
Ge1 Ge 0.000 0.000 0.500
P1 P 0.500 0.500 0.000
Rh1 Rh 0.000 0.500 0.500
```


Entry 3:
This record from Alexandria describes NiGe2PRu after structural relaxation. The functional is PBE.

Summary:
- ΔH_f (0 K): 826 meV/atom

CIF file:
```
data_NiGe2PRu
_chemical_formula_sum 'Ni1 Ge2 P1 Ru1'
_cell_length_a 4.569
_cell_length_b 4.569
_cell_length_c 4.674
_cell_angle_alpha 90.00
_cell_angle_beta 90.00
_cell_angle_gamma 90.00
_space_group_name_H-M_alt 'P 4/m m m'
_space_group_IT_number 123
_space_group_name_Hall '-P 4 2'
loop_
_atom_site_label
_atom_site_type_symbol
_atom_site_fract_x
_atom_site_fract_y
_atom_site_fract_z
Ni1 Ni 0.000 0.000 0.000
Ge1 Ge 0.000 0.500 0.500
P1 P 0.500 0.500 0.000
Ru1 Ru 0.000 0.000 0.500
```


Entry 4:
This record from Alexandria describes NiGeP2S after structural relaxation. The functional is PBE.

Summary:
- Relative energy among the computed polymorphs: 0 meV per atom

CIF file:
```
data_NiGeP2S
_chemical_formula_sum 'Ni1 Ge1 P2 S1'
_cell_length_a 4.299
_cell_length_b 4.299
_cell_length_c 4.889
_cell_angle_alpha 90.00
_cell_angle_beta 90.00
_cell_angle_gamma 90.00
_space_group_name_H-M_alt 'P 4/m m m'
_space_group_IT_number 123
_space_group_name_Hall '-P 4 2'
loop_
_atom_site_label
_atom_site_type_symbol
_atom_site_fract_x
_atom_site_fract_y
_atom_site_fract_z
Ni1 Ni 0.000 0.000 0.000
Ge1 Ge 0.500 0.500 0.500
P1 P 0.000 0.500 0.000
S1 S 0.000 0.000 0.500
```


Entry 5:
This record from Alexandria describes NiGePS2 after structural relaxation. The functional is PBE.

Summary:
- Relative energy among the computed polymorphs: 615 meV per atom

CIF file:
```
data_NiGePS2
_chemical_formula_sum 'Ni1 Ge1 P1 S2'
_cell_length_a 4.671
_cell_length_b 4.671
_cell_length_c 4.656
_cell_angle_alpha 90.00
_cell_angle_beta 90.00
_cell_angle_gamma 90.00
_space_group_name_H-M_alt 'P 4/m m m'
_space_group_IT_number 123
_space_group_name_Hall '-P 4 2'
loop_
_atom_site_label
_atom_site_type_symbol
_atom_site_fract_x
_atom_site_fract_y
_atom_site_fract_z
Ni1 Ni 0.000 0.000 0.000
Ge1 Ge 0.500 0.500 0.500
P1 P 0.500 0.500 0.000
S1 S 0.000 0.500 0.500
```


Entry 6:
This record from Alexandria describes NiGePS2 after structural relaxation. The functional is PBE.

Summary:
- Relative energy among the computed polymorphs: 0 meV per atom

CIF file:
```
data_NiGePS2
_chemical_formula_sum 'Ni1 Ge1 P1 S2'
_cell_length_a 4.737
_cell_length_b 4.737
_cell_length_c 4.107
_cell_angle_alpha 90.00
_cell_angle_beta 90.00
_cell_angle_gamma 90.00
_space_group_name_H-M_alt 'P 4/m m m'
_space_group_IT_number 123
_space_group_name_Hall '-P 4 2'
loop_
_atom_site_label
_atom_site_type_symbol
_atom_site_fract_x
_atom_site_fract_y
_atom_site_fract_z
Ni1 Ni 0.000 0.000 0.000
Ge1 Ge 0.500 0.500 0.500
P1 P 0.000 0.000 0.500
S1 S 0.000 0.500 0.000
```


Entry 7:
This record from Alexandria describes SiNi7Ge2P2 after structural relaxation. The functional is PBE.

Summary:
- Energy: -5.8127 eV/atom

CIF file:
```
data_SiNi7Ge2P2
_chemical_formula_sum 'Si2 Ni14 Ge4 P4'
_cell_length_a 4.899
_cell_length_b 4.979
_cell_length_c 13.219
_cell_angle_alpha 90.00
_cell_angle_beta 95.52
_cell_angle_gamma 90.00
_space_group_name_H-M_alt 'C 1 2/m 1'
_space_group_IT_number 12
_space_group_name_Hall '-C 2y'
loop_
_atom_site_label
_atom_site_type_symbol
_atom_site_fract_x
_atom_site_fract_y
_atom_site_fract_z
Si1 Si 0.000 0.000 0.000
Ni1 Ni 0.000 0.500 0.000
Ni2 Ni 0.112 0.500 0.406
Ni3 Ni 0.214 0.250 0.864
Ge1 Ge 0.130 0.000 0.416
P1 P 0.062 0.500 0.239
```


Entry 8:
This record from Alexandria describes Sm2Ni4GeP3 after structural relaxation. The functional is PBE.

Summary:
- ΔH_f (0 K): -926 meV/atom

CIF file:
```
data_Sm2Ni4GeP3
_chemical_formula_sum 'Sm2 Ni4 Ge1 P3'
_cell_length_a 3.993
_cell_length_b 3.993
_cell_length_c 9.490
_cell_angle_alpha 90.00
_cell_angle_beta 90.00
_cell_angle_gamma 90.00
_space_group_name_H-M_alt 'P -4 m 2'
_space_group_IT_number 115
_space_group_name_Hall 'P -4 -2'
loop_
_atom_site_label
_atom_site_type_symbol
_atom_site_fract_x
_atom_site_fract_y
_atom_site_fract_z
Sm1 Sm 0.000 0.500 0.244
Ni1 Ni 0.000 0.000 0.000
Ni2 Ni 0.000 0.500 0.630
Ni3 Ni 0.500 0.500 0.000
Ge1 Ge 0.000 0.000 0.500
P1 P 0.000 0.500 0.871
P2 P 0.500 0.500 0.500
```


Entry 9:
This record from Alexandria describes SmNi2GeP after structural relaxation. The functional is PBE.

Summary:
- ΔH_f (0 K): -720 meV/atom

CIF file:
```
data_SmNi2GeP
_chemical_formula_sum 'Sm4 Ni8 Ge4 P4'
_cell_length_a 4.035
_cell_length_b 11.857
_cell_length_c 6.976
_cell_angle_alpha 90.00
_cell_angle_beta 90.00
_cell_angle_gamma 90.00
_space_group_name_H-M_alt 'C m c m'
_space_group_IT_number 63
_space_group_name_Hall '-C 2c 2'
loop_
_atom_site_label
_atom_site_type_symbol
_atom_site_fract_x
_atom_site_fract_y
_atom_site_fract_z
Sm1 Sm 0.000 0.073 0.250
Ni1 Ni 0.000 0.317 0.062
Ge1 Ge 0.000 0.221 0.750
P1 P 0.000 0.500 0.000
```


Entry 10:
This record from Alexandria describes Ni7Sn2GeP2 after structural relaxation. The functional is PBE.

Summary:
- ΔH_f (0 K): -297 meV/atom

CIF file:
```
data_Ni7Sn2GeP2
_chemical_formula_sum 'Ni14 Sn4 Ge2 P4'
_cell_length_a 5.040
_cell_length_b 5.041
_cell_length_c 14.315
_cell_angle_alpha 90.00
_cell_angle_beta 100.08
_cell_angle_gamma 90.00
_space_group_name_H-M_alt 'C 1 2/m 1'
_space_group_IT_number 12
_space_group_name_Hall '-C 2y'
loop_
_atom_site_label
_atom_site_type_symbol
_atom_site_fract_x
_atom_site_fract_y
_atom_site_fract_z
Ni1 Ni 0.000 0.000 0.000
Ni2 Ni 0.186 0.250 0.869
Ni3 Ni 0.189 0.000 0.378
Sn1 Sn 0.211 0.500 0.423
Ge1 Ge 0.000 0.500 0.000
P1 P 0.111 0.000 0.224
```


| no. | DOS(E_F) (states/eV/cell) |
| --- | --- |
| 1 | 24.2 |
| 2 | 5.5 |
| 3 | 4.3 |
| 4 | 4.4 |
| 5 | 6.0 |
| 6 | 3.3 |
| 7 | 10.8 |
| 8 | 5.6 |
| 9 | 10.4 |
| 10 | 11.9 |